{
  "formula": "K4Rb7",
  "functional": "PBE-GGA",
  "state": "relaxed",
  "formation_enthalpy_0k_kj_per_mol_fu": 63,
  "crystal_system": "hexagonal",
  "space_group": "No. 187",
  "final_energy_ry_per_atom": -0.07021,
  "cell": [[12.7394, 0.0000, 0.0000], [-6.3697, 11.0326, 0.0000], [0.0000, 0.0000, 7.0546]],
  "species": ["K", "K", "K", "K", "Rb", "Rb", "Rb", "Rb", "Rb", "Rb", "Rb"],
  "frac_coords": [[0.0000, 0.0000, 0.0000], [0.0843, 0.5421, 0.5000], [0.4579, 0.5421, 0.5000], [0.4579, 0.9157, 0.5000], [0.1988, 0.3975, 0.0000], [0.1988, 0.8012, 0.0000], [0.2783, 0.1391, 0.5000], [0.6025, 0.8012, 0.0000], [0.6667, 0.3333, 0.0000], [0.8609, 0.1391, 0.5000], [0.8609, 0.7217, 0.5000]]
}


{
  "formula": "K2Rb3",
  "functional": "PBE-GGA",
  "state": "relaxed",
  "formation_enthalpy_0k_kj_per_mol_fu": 18,
  "relative_energy_ev_per_fu": 0.027,
  "crystal_system": "monoclinic",
  "space_group": "No. 12",
  "final_energy_ry_per_atom": -0.07217,
  "cell": [[6.4564, -9.0039, 0.0000], [6.4564, 9.0039, 0.0000], [-3.4372, 0.0000, 7.4409]],
  "species": ["K", "K", "K", "K", "Rb", "Rb", "Rb", "Rb", "Rb", "Rb"],
  "frac_coords": [[0.0000, 0.5000, 0.5000], [0.1238, 0.8762, 0.0000], [0.5000, 0.0000, 0.5000], [0.8762, 0.1238, 0.0000], [0.2023, 0.2023, 0.5822], [0.2570, 0.5219, 0.1595], [0.4781, 0.7430, 0.8405], [0.5219, 0.2570, 0.1595], [0.7430, 0.4781, 0.8405], [0.7977, 0.7977, 0.4178]]
}


{
  "formula": "K15Rb",
  "functional": "PBE-GGA",
  "state": "relaxed",
  "formation_enthalpy_0k_kj_per_mol_fu": 1,
  "crystal_system": "hexagonal",
  "space_group": "No. 187",
  "final_energy_ry_per_atom": -0.08000,
  "cell": [[9.4072, 0.0000, 0.0000], [-4.7036, 8.1469, 0.0000], [0.0000, 0.0000, 15.2646]],
  "species": ["K", "K", "K", "K", "K", "K", "K", "K", "K", "K", "K", "K", "K", "K", "K", "Rb"],
  "frac_coords": [[0.0000, 0.0000, 0.0000], [0.0007, 0.5003, 0.0000], [0.3333, 0.6667, 0.2503], [0.3333, 0.6667, 0.7497], [0.3354, 0.1677, 0.2473], [0.3354, 0.1677, 0.7527], [0.5003, 0.0006, 0.5000], [0.4997, 0.5003, 0.0000], [0.5003, 0.4997, 0.5000], [0.4997, 0.9993, 0.0000], [0.8323, 0.1677, 0.2473], [0.8323, 0.1677, 0.7527], [0.8323, 0.6646, 0.2473], [0.8323, 0.6646, 0.7527], [0.9994, 0.4997, 0.5000], [0.0000, 0.0000, 0.5000]]
}